DFT (PBE) results for a geometry-optimized LiPPt2 structure.

Calculated values
Total DFT energy (no corrections) ... -5.231 eV/atom
Formation energy from the elements ... -380 meV per atom

a b c (Å): 4.3445 4.3445 4.7986
angles (deg): 98.72 98.72 39.16
Last column: nearest neighbours and their distance in Å.
Fractional positions:
Li 0.0000 0.0000 0.0000  6 Pt 2.50-2.68
P 0.5000 0.5000 0.5000  6 Pt 2.56-2.59, 4 Li 2.81
Pt 0.2439 0.2439 0.7448  3 Li 2.50-2.68, 3 P 2.56-2.59, 2 Pt 2.78
Pt 0.7561 0.7561 0.2552  3 Li 2.50-2.68, 3 P 2.56-2.59, 2 Pt 2.78